The following is a DFT calculation (GGA+U) of a relaxed structure of Ba2ZnCr2CuF14. Values from VASP.

```
&SYSTEM
  ibrav = 0, nat = 40, ntyp = 5
/
ATOMIC_SPECIES
Ba 137.33 Ba.upf
Zn 65.41 Zn.upf
Cr 52.00 Cr.upf
Cu 63.55 Cu.upf
F 19.00 F.upf
CELL_PARAMETERS angstrom
7.1486 -2.6284 0.0000
7.1486 2.6284 0.0000
-0.3758 0.0000 14.7547
ATOMIC_POSITIONS angstrom
Ba 2.5880 0.3979 1.7940
Ba 2.4001 -0.3979 9.1713
Ba 11.5214 0.3979 5.5834
Ba 11.3335 -0.3979 12.9608
Zn 7.0547 0.3067 3.6887
Zn 6.8668 -0.3067 11.0661
Cr 1.5754 0.0919 5.5005
Cr 1.3875 -0.0919 12.8779
Cr 12.5340 0.0919 1.8769
Cr 12.3461 -0.0919 9.2542
Cu 7.1486 0.0000 0.0000
Cu 6.9607 0.0000 7.3774
F 4.6032 1.6632 3.3036
F 6.9861 2.0246 4.9749
F 7.1233 2.0246 2.4024
F 5.8623 1.5981 7.6426
F 3.3622 0.5970 5.9968
F 5.1111 1.1905 0.7002
F 5.3448 1.0045 10.4898
F 7.8713 1.5981 14.4895
F 9.5062 1.6632 4.0737
F 3.1743 -0.5970 13.3742
F 6.0744 0.3339 12.9933
F 8.9983 1.1905 6.6771
F 8.3888 1.0045 11.6423
F 7.6592 0.3339 9.1388
F 6.2622 -0.3339 5.6159
F 5.5327 -1.0045 3.1124
F 4.9232 -1.1905 8.0776
F 7.8471 -0.3339 1.7615
F 10.7472 0.5970 1.3805
F 4.4153 -1.6632 10.6810
F 6.0502 -1.5981 0.2652
F 8.5767 -1.0045 4.2650
F 8.8104 -1.1905 14.0545
F 10.5593 -0.5970 8.7579
F 8.0592 -1.5981 7.1122
F 6.7982 -2.0246 12.3523
F 6.9354 -2.0246 9.7798
F 9.3183 -1.6632 11.4511
```

Values from the calculation:
space-group type: C2/c, No. 15
total magnetization: 0.3504 μB/atom
total DFT energy (no corrections): -5.372 eV/atom